Entry from Alexandria: a geometry-optimized V3CoSe structure (PBE).

abc: 4.457 4.457 4.457
angles: 90.00 90.00 90.00
Site moments in Bohr magnetons follow the coordinates.
Positions (direct):
Se1 0.000 0.000 0.000  -0.01
V1 0.000 0.000 0.500  0.94
V2 0.500 0.000 0.000  0.94
V3 0.000 0.500 0.000  0.94
Co1 0.500 0.500 0.500  1.99

Properties
- Polymorph energy (0 for the lowest one): 280.3 meV/atom
- Energy relative to the elements, uncorrected: 0.932 eV per atom
- Crystal system: cubic
- M_tot: 4.99 μB per formula unit

=====

Entry from Alexandria: a geometry-optimized VCoSe2 structure (PBE).

abc: 5.894 7.447 7.894
angles: 116.40 90.00 90.00
Site moments in Bohr magnetons follow the coordinates.
Positions (direct):
Co1 0.352 0.559 0.612  0.74
Co2 0.852 0.941 0.388  0.74
Co3 0.148 0.059 0.612  0.74
Co4 0.648 0.441 0.388  0.74
Se1 0.758 0.601 0.207  0.06
Se2 0.742 0.101 0.207  0.06
Se3 0.259 0.858 0.298  0.04
Se4 0.241 0.358 0.298  0.04
Se5 0.741 0.142 0.702  0.04
Se6 0.242 0.399 0.793  0.06
Se7 0.759 0.642 0.702  0.04
Se8 0.258 0.899 0.793  0.06
V1 0.525 0.819 0.524  -0.55
V2 0.975 0.319 0.524  -0.55
V3 0.475 0.181 0.476  -0.55
V4 0.025 0.681 0.476  -0.55

Properties
- Polymorph energy (0 for the lowest one): 0.0 meV/atom
- Energy relative to the elements, uncorrected: -0.527 eV per atom
- Crystal system: monoclinic
- M_tot: 0.28 μB per formula unit

=====

Entry from Alexandria: a geometry-optimized VCoSe4 structure (PBE).

abc: 6.895 6.895 6.895
angles: 104.26 104.26 120.49
Site moments in Bohr magnetons follow the coordinates.
Positions (direct):
V1 0.786 0.786 0.000  -0.10
V2 0.536 0.036 0.500  -0.10
Se1 0.314 0.492 0.821  0.09
Se2 0.752 0.462 0.710  0.04
Se3 0.242 0.564 0.321  0.09
Se4 0.242 0.921 0.679  0.09
Se5 0.752 0.042 0.290  0.04
Se6 0.212 0.002 0.210  0.04
Se7 0.671 0.492 0.179  0.09
Se8 0.792 0.002 0.790  0.04
Co1 0.226 0.226 0.000  1.19
Co2 0.976 0.476 0.500  1.19

Properties
- Energy relative to the elements, uncorrected: -0.301 eV per atom
- Crystal system: tetragonal
- M_tot: 1.49 μB per formula unit

=====

Entry from Alexandria: a geometry-optimized VCoSe structure (PBE).

abc: 3.873 2.685 9.930
angles: 82.23 90.00 90.00
Site moments in Bohr magnetons follow the coordinates.
Positions (direct):
V1 0.250 0.536 0.929  0.16
V2 0.750 0.464 0.071  0.16
Co1 0.750 0.082 0.837  0.00
Co2 0.250 0.918 0.163  0.00
Se1 0.250 0.659 0.683  0.00
Se2 0.750 0.341 0.317  0.00

Properties
- Energy relative to the elements, uncorrected: -0.005 eV per atom
- Crystal system: orthorhombic
- M_tot: 0.18 μB per formula unit

=====

Entry from Alexandria: a geometry-optimized VCoSe3 structure (PBE).

abc: 4.652 4.652 4.652
angles: 90.00 90.00 90.00
Site moments in Bohr magnetons follow the coordinates.
Positions (direct):
V1 0.500 0.500 0.500  2.75
Co1 0.000 0.000 0.000  -0.66
Se1 0.000 0.000 0.500  -0.26
Se2 0.500 0.000 0.000  -0.26
Se3 0.000 0.500 0.000  -0.26

Properties
- Polymorph energy (0 for the lowest one): 869.8 meV/atom
- Energy relative to the elements, uncorrected: 0.410 eV per atom
- Crystal system: cubic
- M_tot: 1.46 μB per formula unit

=====

Entry from Alexandria: a geometry-optimized V3CoSe6 structure (PBE).

abc: 7.378 7.378 7.378
angles: 89.94 89.94 89.94
Site moments in Bohr magnetons follow the coordinates.
Positions (direct):
Se1 0.534 0.409 0.189  -0.12
Se2 0.591 0.811 0.466  -0.12
Se3 0.409 0.189 0.534  -0.12
Se4 0.811 0.466 0.591  -0.12
Se5 0.914 0.689 0.078  -0.11
Se6 0.189 0.534 0.409  -0.12
Se7 0.311 0.922 0.086  -0.11
Se8 0.922 0.086 0.311  -0.11
Se9 0.689 0.078 0.914  -0.11
Se10 0.086 0.311 0.922  -0.11
Se11 0.078 0.914 0.689  -0.11
Se12 0.466 0.591 0.811  -0.12
V1 0.923 0.758 0.418  1.88
V2 0.758 0.418 0.923  1.88
V3 0.582 0.077 0.242  1.88
V4 0.418 0.923 0.758  1.88
V5 0.077 0.242 0.582  1.88
V6 0.242 0.582 0.077  1.88
Co1 0.500 0.500 0.500  0.24
Co2 0.000 0.000 0.000  0.62

Properties
- Energy relative to the elements, uncorrected: -0.457 eV per atom
- Crystal system: trigonal
- M_tot: 5.99 μB per formula unit

=====

| no. | uncorrected energy (eV/atom) | DOS(E_F) (states/eV/f.u.) |
| --- | --- | --- |
| 1 | -6.657 | 8.922 |
| 2 | -6.325 | 3.196 |
| 3 | -5.328 | 5.568 |
| 4 | -6.575 | 3.412 |
| 5 | -4.926 | 4.917 |
| 6 | -5.994 | 6.257 |